# La2GaReAu (PBE-GGA, relaxed)
data_La2GaReAu
_cell_length_a 5.670
_cell_length_b 5.670
_cell_length_c 4.575
_cell_angle_alpha 90.00
_cell_angle_beta 90.00
_cell_angle_gamma 90.00
_symmetry_space_group_name_H-M 'P 4/m m m'
_symmetry_Int_Tables_number 123
_symmetry_space_group_name_Hall '-P 4 2'
loop_
_atom_site_label
_atom_site_fract_x
_atom_site_fract_y
_atom_site_fract_z
La1 0.000 0.500 0.000
Ga1 0.000 0.000 0.000
Re1 0.000 0.000 0.500
Au1 0.500 0.500 0.500
# DFT total energy in eV/atom: -5.251
# D(E_F) in states/eV/cell: 7.0

=====

# La2GaRuAu (PBE-GGA, relaxed)
data_La2GaRuAu
_cell_length_a 5.419
_cell_length_b 5.419
_cell_length_c 4.810
_cell_angle_alpha 90.00
_cell_angle_beta 90.00
_cell_angle_gamma 90.00
_symmetry_space_group_name_H-M 'P 4/m m m'
_symmetry_Int_Tables_number 123
_symmetry_space_group_name_Hall '-P 4 2'
loop_
_atom_site_label
_atom_site_fract_x
_atom_site_fract_y
_atom_site_fract_z
La1 0.000 0.500 0.000
Ga1 0.000 0.000 0.500
Ru1 0.000 0.000 0.000
Au1 0.500 0.500 0.500
# DFT total energy in eV/atom: -5.539
# D(E_F) in states/eV/cell: 2.9

=====

# LaScGa2Au4 (PBE-GGA, relaxed)
data_LaScGa2Au4
_cell_length_a 4.6658
_cell_length_b 4.6658
_cell_length_c 26.1485
_cell_angle_alpha 90.00
_cell_angle_beta 90.00
_cell_angle_gamma 120.00
_symmetry_space_group_name_H-M 'R -3 m'
_symmetry_Int_Tables_number 166
_symmetry_space_group_name_Hall '-R 3 2"'
loop_
_atom_site_label
_atom_site_fract_x
_atom_site_fract_y
_atom_site_fract_z
La1 0.0000 0.0000 0.0000
Sc1 0.0000 0.0000 0.5000
Ga1 0.0000 0.0000 0.2432
Au1 0.0000 0.0000 0.1328
Au2 0.0000 0.0000 0.3935
# DFT total energy in eV/atom: -4.443
# D(E_F) in states/eV/cell: 11.7

=====

# LaScGa2Au2 (PBE-GGA, relaxed)
data_LaScGa2Au2
_cell_length_a 4.5119
_cell_length_b 4.5119
_cell_length_c 7.2829
_cell_angle_alpha 90.00
_cell_angle_beta 90.00
_cell_angle_gamma 120.00
_symmetry_space_group_name_H-M 'P -3 m 1'
_symmetry_Int_Tables_number 164
_symmetry_space_group_name_Hall '-P 3 2"'
loop_
_atom_site_label
_atom_site_fract_x
_atom_site_fract_y
_atom_site_fract_z
La1 0.0000 0.0000 0.0000
Sc1 0.0000 0.0000 0.5000
Ga1 0.3333 0.6667 0.2927
Au1 0.3333 0.6667 0.7018
# DFT total energy in eV/atom: -4.761
# D(E_F) in states/eV/cell: 4.1

=====

# La2Ga3SiAu4 (PBE-GGA, relaxed)
data_La2Ga3SiAu4
_cell_length_a 4.522
_cell_length_b 4.522
_cell_length_c 10.297
_cell_angle_alpha 90.00
_cell_angle_beta 90.00
_cell_angle_gamma 90.00
_symmetry_space_group_name_H-M 'P -4 m 2'
_symmetry_Int_Tables_number 115
loop_
_symmetry_equiv_pos_as_xyz
'x,y,z'
'y,-x,-z'
'-x,-y,z'
'-y,x,-z'
'-x,y,z'
'-y,-x,-z'
'x,-y,z'
'y,x,-z'
loop_
_atom_site_label
_atom_site_fract_x
_atom_site_fract_y
_atom_site_fract_z
La1 0.000 0.500 0.246
Ga1 0.000 0.000 0.000
Ga2 0.000 0.500 0.632
Si1 0.500 0.500 0.000
Au1 0.000 0.000 0.500
Au2 0.000 0.500 0.879
Au3 0.500 0.500 0.500
# DFT total energy in eV/atom: -4.408
# D(E_F) in states/eV/cell: 6.7

=====

# La2GaSi3Au4 (PBE-GGA, relaxed)
data_La2GaSi3Au4
_cell_length_a 4.407
_cell_length_b 4.407
_cell_length_c 10.453
_cell_angle_alpha 90.00
_cell_angle_beta 90.00
_cell_angle_gamma 90.00
_symmetry_space_group_name_H-M 'P -4 m 2'
_symmetry_Int_Tables_number 115
loop_
_symmetry_equiv_pos_as_xyz
'x,y,z'
'y,-x,-z'
'-x,-y,z'
'-y,x,-z'
'-x,y,z'
'-y,-x,-z'
'x,-y,z'
'y,x,-z'
loop_
_atom_site_label
_atom_site_fract_x
_atom_site_fract_y
_atom_site_fract_z
La1 0.000 0.500 0.247
Ga1 0.000 0.000 0.500
Si1 0.000 0.500 0.869
Si2 0.500 0.500 0.500
Au1 0.000 0.000 0.000
Au2 0.000 0.500 0.633
Au3 0.500 0.500 0.000
# DFT total energy in eV/atom: -4.887
# D(E_F) in states/eV/cell: 4.4

=====

# LaSmGa2Au2 (PBE-GGA, relaxed)
data_LaSmGa2Au2
_cell_length_a 4.6087
_cell_length_b 4.6087
_cell_length_c 7.5444
_cell_angle_alpha 90.00
_cell_angle_beta 90.00
_cell_angle_gamma 120.00
_symmetry_space_group_name_H-M 'P -3 m 1'
_symmetry_Int_Tables_number 164
_symmetry_space_group_name_Hall '-P 3 2"'
loop_
_atom_site_label
_atom_site_fract_x
_atom_site_fract_y
_atom_site_fract_z
La1 0.0000 0.0000 0.0000
Sm1 0.0000 0.0000 0.5000
Ga1 0.3333 0.6667 0.7323
Au1 0.3333 0.6667 0.2677
# DFT total energy in eV/atom: -4.490
# D(E_F) in states/eV/cell: 3.9

=====

# LaGa2SnAu2 (PBE-GGA, relaxed)
data_LaGa2SnAu2
_cell_length_a 4.6082
_cell_length_b 4.6082
_cell_length_c 7.2180
_cell_angle_alpha 90.00
_cell_angle_beta 90.00
_cell_angle_gamma 120.00
_symmetry_space_group_name_H-M 'P -3 m 1'
_symmetry_Int_Tables_number 164
_symmetry_space_group_name_Hall '-P 3 2"'
loop_
_atom_site_label
_atom_site_fract_x
_atom_site_fract_y
_atom_site_fract_z
La1 0.0000 0.0000 0.0000
Ga1 0.3333 0.6667 0.7497
Sn1 0.0000 0.0000 0.5000
Au1 0.3333 0.6667 0.2855
# DFT total energy in eV/atom: -4.108
# D(E_F) in states/eV/cell: 3.1

=====

# LaGa2SnAu5 (PBE-GGA, relaxed)
data_LaGa2SnAu5
_cell_length_a 4.612
_cell_length_b 4.612
_cell_length_c 8.780
_cell_angle_alpha 90.00
_cell_angle_beta 90.00
_cell_angle_gamma 90.00
_symmetry_space_group_name_H-M 'P 4/m m m'
_symmetry_Int_Tables_number 123
_symmetry_space_group_name_Hall '-P 4 2'
loop_
_atom_site_label
_atom_site_fract_x
_atom_site_fract_y
_atom_site_fract_z
La1 0.000 0.000 0.000
Ga1 0.500 0.500 0.143
Sn1 0.000 0.000 0.500
Au1 0.000 0.500 0.279
Au2 0.500 0.500 0.500
# DFT total energy in eV/atom: -3.915
# D(E_F) in states/eV/cell: 4.1

=====

# La2Ga4SnAu3 (PBE-GGA, relaxed)
data_La2Ga4SnAu3
_cell_length_a 4.467
_cell_length_b 4.467
_cell_length_c 11.004
_cell_angle_alpha 90.00
_cell_angle_beta 90.00
_cell_angle_gamma 90.00
_symmetry_space_group_name_H-M 'P -4 m 2'
_symmetry_Int_Tables_number 115
loop_
_symmetry_equiv_pos_as_xyz
'x,y,z'
'y,-x,-z'
'-x,-y,z'
'-y,x,-z'
'-x,y,z'
'-y,-x,-z'
'x,-y,z'
'y,x,-z'
loop_
_atom_site_label
_atom_site_fract_x
_atom_site_fract_y
_atom_site_fract_z
La1 0.000 0.500 0.242
Ga1 0.000 0.000 0.000
Ga2 0.000 0.500 0.647
Ga3 0.500 0.500 0.000
Sn1 0.000 0.000 0.500
Au1 0.000 0.500 0.875
Au2 0.500 0.500 0.500
# DFT total energy in eV/atom: -4.237
# D(E_F) in states/eV/cell: 3.6

=====

# La2GaSn3Au4 (PBE-GGA, relaxed)
data_La2GaSn3Au4
_cell_length_a 4.644
_cell_length_b 4.644
_cell_length_c 11.186
_cell_angle_alpha 90.00
_cell_angle_beta 90.00
_cell_angle_gamma 90.00
_symmetry_space_group_name_H-M 'P -4 m 2'
_symmetry_Int_Tables_number 115
loop_
_symmetry_equiv_pos_as_xyz
'x,y,z'
'y,-x,-z'
'-x,-y,z'
'-y,x,-z'
'-x,y,z'
'-y,-x,-z'
'x,-y,z'
'y,x,-z'
loop_
_atom_site_label
_atom_site_fract_x
_atom_site_fract_y
_atom_site_fract_z
La1 0.000 0.500 0.246
Ga1 0.000 0.000 0.500
Sn1 0.000 0.500 0.865
Sn2 0.500 0.500 0.500
Au1 0.000 0.000 0.000
Au2 0.000 0.500 0.627
Au3 0.500 0.500 0.000
# DFT total energy in eV/atom: -4.434
# D(E_F) in states/eV/cell: 4.7

=====

# La2Ga3SnAu4 (PBE-GGA, relaxed)
data_La2Ga3SnAu4
_cell_length_a 4.449
_cell_length_b 4.449
_cell_length_c 11.229
_cell_angle_alpha 90.00
_cell_angle_beta 90.00
_cell_angle_gamma 90.00
_symmetry_space_group_name_H-M 'P -4 m 2'
_symmetry_Int_Tables_number 115
loop_
_symmetry_equiv_pos_as_xyz
'x,y,z'
'y,-x,-z'
'-x,-y,z'
'-y,x,-z'
'-x,y,z'
'-y,-x,-z'
'x,-y,z'
'y,x,-z'
loop_
_atom_site_label
_atom_site_fract_x
_atom_site_fract_y
_atom_site_fract_z
La1 0.000 0.500 0.236
Ga1 0.000 0.500 0.873
Ga2 0.500 0.500 0.500
Sn1 0.000 0.000 0.500
Au1 0.000 0.000 0.000
Au2 0.000 0.500 0.648
Au3 0.500 0.500 0.000
# DFT total energy in eV/atom: -4.273
# D(E_F) in states/eV/cell: 5.7